KGa2Pt2 | PBE | relaxed

Computed properties:
* total magnetization: 0.00 Bohr magnetons per cell
* energy relative to the lowest polymorph listed for this composition: 18 meV/atom
* calculated formation energy: -525 meV per atom

Geometry as CIF:
```
data_KGa2Pt2
_cell_length_a 4.3347
_cell_length_b 4.3347
_cell_length_c 10.7601
_cell_angle_alpha 90.00
_cell_angle_beta 90.00
_cell_angle_gamma 90.00
_symmetry_space_group_name_H-M 'P 4/n m m'
_symmetry_Int_Tables_number 129
loop_
_symmetry_equiv_pos_as_xyz
'x,y,z'
'-x,-y,-z'
'-y+1/2,x,z'
'y+1/2,-x,-z'
'-x+1/2,-y+1/2,z'
'x+1/2,y+1/2,-z'
'y,-x+1/2,z'
'-y,x+1/2,-z'
'x+1/2,-y,-z'
'-x+1/2,y,z'
'-y,-x,-z'
'y,x,z'
'-x,y+1/2,-z'
'x,-y+1/2,z'
'y+1/2,x+1/2,-z'
'-y+1/2,-x+1/2,z'
loop_
_atom_site_label
_atom_site_fract_x
_atom_site_fract_y
_atom_site_fract_z
K1 0.2500 0.2500 0.2491
Ga1 0.2500 0.2500 0.8691
Ga2 0.2500 0.7500 0.5000
Pt1 0.2500 0.2500 0.6291
Pt2 0.2500 0.7500 0.0000
```